The following is a PBE calculation of a relaxed structure of Ba2CdPdI, from the Alexandria database.

Computed properties:
As for the theoretical density: 5.11 Mg/m³. For the formation energy without anion corrections, the calculation gives -16.551 kcal/mol of atoms.

abc: 6.184 6.184 5.269
angles: 90.00 90.00 90.00
Fractional coordinates of all 5 atoms:
1 Ba 0.000 0.500 0.000
2 Ba 0.500 0.000 0.000
3 Cd 0.000 0.000 0.500
4 Pd 0.000 0.000 0.000
5 I 0.500 0.500 0.500

---

The following is a PBE calculation of a relaxed structure of MnAg2Ir, from the Alexandria database.

Computed properties:
As for the theoretical density: 11.93 Mg/m³. As for the polymorph energy (0 for the lowest one): 33.2 meV per atom. The value obtained for the formation energy is 0.181 eV per atom.

abc: 2.926 3.616 6.089
angles: 90.00 90.00 90.00
Fractional coordinates of all 4 atoms:
1 Mn 0.000 0.000 0.000
2 Ag 0.000 0.000 0.539
3 Ag 0.500 0.500 0.278
4 Ir 0.500 0.500 0.815

---

The following is a PBE calculation of a relaxed structure of NaBTeO5, from the Alexandria database.

Computed properties:
As for the theoretical density: 4.73 Mg/m³. For the formation energy without anion corrections, the calculation gives -35.156 kcal/mol of atoms.

abc: 5.251 5.251 7.102
angles: 106.31 106.31 103.50
Fractional coordinates of all 16 atoms:
1 Na 0.152 0.848 0.750
2 Na 0.848 0.152 0.250
3 B 0.190 0.810 0.250
4 B 0.810 0.190 0.750
5 Te 0.500 0.500 0.000
6 Te 0.500 0.500 0.500
7 O 0.106 0.258 0.906
8 O 0.184 0.607 0.363
9 O 0.258 0.106 0.406
10 O 0.393 0.816 0.137
11 O 0.409 0.591 0.750
12 O 0.591 0.409 0.250
13 O 0.607 0.184 0.863
14 O 0.742 0.894 0.594
15 O 0.816 0.393 0.637
16 O 0.894 0.742 0.094